VASP calculation (PBE) on a relaxed structure of Bi6AuO12.

Geometry as CIF:
```
data_Bi6AuO12
_chemical_formula_sum 'Bi6 Au1 O12'
_cell_length_a 6.7435
_cell_length_b 6.7435
_cell_length_c 6.7435
_cell_angle_alpha 99.54
_cell_angle_beta 99.54
_cell_angle_gamma 99.54
_symmetry_space_group_name_H-M 'P 1'
_symmetry_Int_Tables_number 1
_symmetry_space_group_name_Hall 'P 1'
loop_
_atom_site_label
_atom_site_type_symbol
_atom_site_fract_x
_atom_site_fract_y
_atom_site_fract_z
Bi1 Bi 0.0987 0.6424 0.7977
Bi2 Bi 0.2023 0.9013 0.3576
Bi3 Bi 0.3576 0.2023 0.9013
Bi4 Bi 0.6424 0.7977 0.0987
Bi5 Bi 0.7977 0.0987 0.6424
Bi6 Bi 0.9013 0.3576 0.2023
Au1 Au 0.5000 0.5000 0.5000
O1 O 0.0660 0.3195 0.9294
O2 O 0.0706 0.9340 0.6805
O3 O 0.1979 0.5366 0.4297
O4 O 0.3195 0.9294 0.0660
O5 O 0.4297 0.1979 0.5366
O6 O 0.4634 0.5703 0.8021
O7 O 0.5366 0.4297 0.1979
O8 O 0.5703 0.8021 0.4634
O9 O 0.6805 0.0706 0.9340
O10 O 0.8021 0.4634 0.5703
O11 O 0.9294 0.0660 0.3195
O12 O 0.9340 0.6805 0.0706
```

**SG**: R-3, No. 148
**Total magnetization**: 0.0 μB/f.u.
**D(E_F)**: 16.09 states/eV/cell
**Uncorrected formation energy**: -0.931 eV per atom
**Density**: 9.333 g cm⁻³

VASP calculation (PBE) on a relaxed structure of Sm3ZnSi6Rh2.

Geometry as CIF:
```
data_Sm3ZnSi6Rh2
_chemical_formula_sum 'Sm3 Zn1 Si6 Rh2'
_cell_length_a 5.3676
_cell_length_b 5.3676
_cell_length_c 9.1831
_cell_angle_alpha 90.00
_cell_angle_beta 90.00
_cell_angle_gamma 120.00
_symmetry_space_group_name_H-M 'P 1'
_symmetry_Int_Tables_number 1
_symmetry_space_group_name_Hall 'P 1'
loop_
_atom_site_label
_atom_site_type_symbol
_atom_site_fract_x
_atom_site_fract_y
_atom_site_fract_z
Sm1 Sm 0.0000 0.0000 0.0000
Sm2 Sm 0.3333 0.6667 0.5824
Sm3 Sm 0.6667 0.3333 0.4176
Zn1 Zn 0.0000 0.0000 0.5000
Si1 Si 0.1696 0.3391 0.2745
Si2 Si 0.1696 0.8304 0.2745
Si3 Si 0.3391 0.1696 0.7255
Si4 Si 0.6609 0.8304 0.2745
Si5 Si 0.8304 0.1696 0.7255
Si6 Si 0.8304 0.6609 0.7255
Rh1 Rh 0.3333 0.6667 0.0741
Rh2 Rh 0.6667 0.3333 0.9259
```

**SG**: P-3m1, No. 164
**Total magnetization**: 0.0 μB/f.u.
**D(E_F)**: 5.64 states/eV/cell
**Uncorrected formation energy**: -0.391 eV per atom
**Density**: 6.456 g cm⁻³

VASP calculation (PBE) on a relaxed structure of CeSm3C8.

Geometry as CIF:
```
data_CeSm3C8
_chemical_formula_sum 'Ce1 Sm3 C8'
_cell_length_a 6.3772
_cell_length_b 6.3727
_cell_length_c 7.1179
_cell_angle_alpha 56.09
_cell_angle_beta 56.03
_cell_angle_gamma 67.87
_symmetry_space_group_name_H-M 'P 1'
_symmetry_Int_Tables_number 1
_symmetry_space_group_name_Hall 'P 1'
loop_
_atom_site_label
_atom_site_type_symbol
_atom_site_fract_x
_atom_site_fract_y
_atom_site_fract_z
Ce1 Ce 0.0000 0.0000 0.0000
Sm1 Sm 0.2499 0.2499 0.2501
Sm2 Sm 0.5004 0.5004 0.4996
Sm3 Sm 0.7499 0.7499 0.7501
C1 C 0.0720 0.3995 0.9280
C2 C 0.1319 0.5972 0.4028
C3 C 0.3995 0.0720 0.6005
C4 C 0.4044 0.8697 0.5956
C5 C 0.5972 0.1319 0.8681
C6 C 0.6020 0.9296 0.0704
C7 C 0.8697 0.4044 0.1303
C8 C 0.9296 0.6020 0.3980
```

**Energy of formation**: 0.15 eV/atom
**SG**: Fmm2, No. 42
**Total magnetization**: 1.0 μB/f.u.
**D(E_F)**: 8.29 states/eV/cell
**Density**: 5.757 g cm⁻³

The lowest D(E_F) belongs to which entry? Sm3ZnSi6Rh2

The lowest D(E_F) belongs to which entry? Sm3ZnSi6Rh2

Which formula does entry 2 have? Sm3ZnSi6Rh2

Which of these has the lowest D(E_F)? Sm3ZnSi6Rh2